(1)
Compound: Al3Ga12Ag4
Source: Alexandria via LeMat-Bulk
Functional: PBE
Structure: relaxed

Cell and atoms, written as POSCAR:
```
Al3Ga12Ag4
1.0
-3.7615 7.3024 -2.1189
-4.7348 -4.0543 5.7540
7.6607 1.6097 3.2690
Al Ga Ag
3 12 4
Direct
0.5000 0.0000 0.5000
0.5000 0.5000 0.0000
0.0000 0.5000 0.5000
0.6426 0.3802 0.7376
0.3574 0.6198 0.2624
0.3574 0.0951 0.7376
0.3802 0.7376 0.6426
0.7376 0.3575 0.0951
0.2624 0.3574 0.6198
0.0951 0.7376 0.3574
0.2624 0.6425 0.9049
0.6426 0.9049 0.2624
0.6198 0.2624 0.3574
0.7376 0.6426 0.3802
0.9049 0.2624 0.6426
0.0000 0.0000 0.5000
0.5000 0.5000 0.5000
0.5000 0.0000 0.0000
0.0000 0.5000 0.0000
```

N(E_F), states/eV/cell: 11.00
E_tot, eV/atom: -2.94
Magnetic moment, μB/f.u.: 0.00
Formation enthalpy at 0 K, meV/atom: 167.1

---

(2)
Compound: Al4GaAg7
Source: Alexandria via LeMat-Bulk
Functional: PBE
Structure: relaxed

Cell and atoms, written as POSCAR:
```
Al4GaAg7
1.0
-4.3600 -0.8675 1.5225
-1.9356 -7.2951 -2.4489
0.2057 -3.1417 6.0502
Al Ga Ag
4 1 7
Direct
0.5865 0.1925 0.6345
0.4135 0.8075 0.3655
0.6867 0.6455 0.9811
0.3133 0.3545 0.0189
0.0000 0.0000 0.0000
0.7767 0.8417 0.6049
0.2233 0.1583 0.3951
0.0542 0.6170 0.2746
0.9458 0.3830 0.7254
0.3416 0.6054 0.7113
0.5000 0.0000 0.0000
0.6584 0.3946 0.2887
```

N(E_F), states/eV/cell: 3.79
E_tot, eV/atom: -3.07
Magnetic moment, μB/f.u.: 0.00
Energy relative to the lowest polymorph listed for this composition, meV/atom: 111
Formation enthalpy at 0 K, meV/atom: 97.5

---

(3)
Compound: Al2Ga2Ag
Source: Alexandria via LeMat-Bulk
Functional: PBE
Structure: relaxed

Cell and atoms, written as POSCAR:
```
Al2Ga2Ag
1.0
4.3968 0.0000 0.0000
0.0000 7.3714 0.0000
0.0000 0.0000 11.4930
Al Ga Ag
8 8 4
Direct
0.7500 0.4591 0.7624
0.2500 0.0409 0.2624
0.2500 0.5409 0.2376
0.7500 0.9591 0.7376
0.7500 0.7995 0.1829
0.2500 0.7005 0.6829
0.2500 0.2005 0.8171
0.7500 0.2995 0.3171
0.7500 0.6193 0.5490
0.2500 0.8807 0.0490
0.2500 0.3807 0.4510
0.7500 0.1193 0.9510
0.7500 0.9595 0.3968
0.2500 0.5405 0.8968
0.2500 0.0405 0.6032
0.7500 0.4595 0.1032
0.7500 0.2431 0.5656
0.2500 0.2569 0.0656
0.2500 0.7569 0.4344
0.7500 0.7431 0.9344
```

N(E_F), states/eV/cell: 5.85
E_tot, eV/atom: -3.19
Magnetic moment, μB/f.u.: 0.00
Energy relative to the lowest polymorph listed for this composition, meV/atom: 65
Formation enthalpy at 0 K, meV/atom: 87.0

---

(4)
Compound: AlGaAg2
Source: Alexandria via LeMat-Bulk
Functional: PBE
Structure: relaxed

Cell and atoms, written as POSCAR:
```
AlGaAg2
1.0
2.9469 0.4497 0.0000
-0.7276 4.7476 0.0000
0.0000 0.0000 4.8095
Al Ga Ag
1 1 2
Direct
0.0003 0.5283 0.0000
0.4996 0.7198 0.5000
0.5005 0.0234 0.0000
0.9997 0.2285 0.5000
```

N(E_F), states/eV/cell: 0.52
E_tot, eV/atom: -3.16
Magnetic moment, μB/f.u.: 0.00
Energy relative to the lowest polymorph listed for this composition, meV/atom: 0
Formation enthalpy at 0 K, meV/atom: -46.9

---

(5)
Compound: Al2GaAg7
Source: Alexandria via LeMat-Bulk
Functional: PBE
Structure: relaxed

Cell and atoms, written as POSCAR:
```
Al2GaAg7
1.0
4.4789 0.0000 0.0000
0.0000 7.5203 -0.1673
0.0000 -3.5421 6.6360
Al Ga Ag
2 1 7
Direct
0.5000 0.6975 0.3025
0.5000 0.3025 0.6975
0.0000 0.0000 0.0000
0.0000 0.7941 0.2059
0.0000 0.2059 0.7941
0.5000 0.0729 0.2991
0.5000 0.9271 0.7009
0.5000 0.2991 0.0729
0.5000 0.7009 0.9271
0.5000 0.5000 0.5000
```

N(E_F), states/eV/cell: 2.76
E_tot, eV/atom: -2.82
Magnetic moment, μB/f.u.: 0.00
Formation enthalpy at 0 K, meV/atom: 222.2

---

(6)
Compound: Al3Ga4Ag
Source: Alexandria via LeMat-Bulk
Functional: PBE
Structure: relaxed

Cell and atoms, written as POSCAR:
```
Al3Ga4Ag
1.0
-2.1260 1.1192 1.5869
-2.7046 -4.1523 -0.6948
5.3982 -4.1593 7.5530
Al Ga Ag
3 4 1
Direct
0.0000 0.5000 0.0000
0.1142 0.1670 0.2284
0.8858 0.8330 0.7716
0.3781 0.3370 0.7563
0.6219 0.6630 0.2437
0.7548 0.7529 0.5096
0.2452 0.2471 0.4904
0.5000 0.0000 0.0000
```

N(E_F), states/eV/cell: 3.01
E_tot, eV/atom: -3.24
Magnetic moment, μB/f.u.: 0.00
Formation enthalpy at 0 K, meV/atom: 36.6

---

(7)
Compound: Al5GaAg3
Source: Alexandria via LeMat-Bulk
Functional: PBE
Structure: relaxed

Cell and atoms, written as POSCAR:
```
Al5GaAg3
1.0
8.1367 0.9137 0.8559
3.1062 7.5757 0.8559
4.9033 3.7025 7.0228
Al Ga Ag
10 2 6
Direct
0.7830 0.3846 0.2258
0.2959 0.7041 0.0000
0.8343 0.8343 0.9564
0.3934 0.3934 0.3060
0.6066 0.6066 0.6940
0.1657 0.1657 0.0436
0.3846 0.7830 0.2258
0.7041 0.2959 0.0000
0.2170 0.6154 0.7742
0.6154 0.2170 0.7742
0.1224 0.1224 0.6143
0.8776 0.8776 0.3857
0.7049 0.7049 0.8520
0.6490 0.6490 0.3770
0.0000 0.0000 0.0000
0.0000 0.0000 0.5000
0.2951 0.2951 0.1480
0.3510 0.3510 0.6230
```

N(E_F), states/eV/cell: 5.27
E_tot, eV/atom: -3.16
Magnetic moment, μB/f.u.: 0.00
Formation enthalpy at 0 K, meV/atom: 201.8

---

(8)
Compound: Al2Ga3Ag8
Source: Alexandria via LeMat-Bulk
Functional: PBE
Structure: relaxed

Cell and atoms, written as POSCAR:
```
Al2Ga3Ag8
1.0
5.4942 0.0000 0.0000
2.7471 4.7581 0.0000
2.7471 1.5860 9.5424
Al Ga Ag
2 3 8
Direct
0.6366 0.6366 0.0901
0.3634 0.3634 0.9099
0.0000 0.0000 0.0000
0.8149 0.8149 0.5552
0.1851 0.1851 0.4448
0.7241 0.7241 0.8278
0.2759 0.2759 0.1722
0.2269 0.7269 0.3193
0.7269 0.2269 0.3193
0.7269 0.7269 0.3193
0.2731 0.7731 0.6807
0.7731 0.2731 0.6807
0.2731 0.2731 0.6807
```

N(E_F), states/eV/cell: 3.91
E_tot, eV/atom: -2.91
Magnetic moment, μB/f.u.: 0.00
Formation enthalpy at 0 K, meV/atom: 117.2

---

(9)
Compound: AlGa2Ag2
Source: Alexandria via LeMat-Bulk
Functional: PBE
Structure: relaxed

Cell and atoms, written as POSCAR:
```
AlGa2Ag2
1.0
3.7575 0.0000 0.0000
0.0000 3.7575 0.0000
1.8788 1.8788 6.7367
Ga Ag Al
2 2 1
Direct
0.7500 0.2500 0.5000
0.2500 0.7500 0.5000
0.3999 0.3999 0.2002
0.6001 0.6001 0.7998
0.0000 0.0000 0.0000
```

N(E_F), states/eV/cell: 1.98
E_tot, eV/atom: -2.95
Magnetic moment, μB/f.u.: 0.00
Energy relative to the lowest polymorph listed for this composition, meV/atom: 32
Formation enthalpy at 0 K, meV/atom: 145.4

---

(10)
Compound: Al4Ga5Ag
Source: Alexandria via LeMat-Bulk
Functional: PBE
Structure: relaxed

Cell and atoms, written as POSCAR:
```
Al4Ga5Ag
1.0
4.1587 0.0080 -0.9067
-0.8756 6.6165 -2.8156
-0.3018 -0.9297 7.2285
Al Ga Ag
4 5 1
Direct
0.3224 0.0624 0.6473
0.9786 0.2126 0.9562
0.6776 0.9376 0.3527
0.0214 0.7874 0.0438
0.8477 0.3857 0.6675
0.7877 0.7504 0.6273
0.2123 0.2496 0.3727
0.5000 0.5000 0.0000
0.1523 0.6143 0.3325
0.5000 0.0000 0.0000
```

N(E_F), states/eV/cell: 2.96
E_tot, eV/atom: -3.24
Magnetic moment, μB/f.u.: 0.00
Formation enthalpy at 0 K, meV/atom: 58.2